A plane-wave DFT calculation with PBE-GGA was carried out for a relaxed structure of TaNb2ZnIn.

Unit cell a=4.9119 b=4.9119 c=4.9929 alpha=90.00 beta=90.00 gamma=90.00
With the nearest neighbours (Å) after each atom.
Atoms (fractional coordinates):
Ta: 0.0000 0.0000 0.0000  4 Nb 2.46, 2 Zn 2.50
Nb: 0.0000 0.5000 0.0000  2 Ta 2.46
Nb: 0.5000 0.0000 0.0000  2 Ta 2.46
Zn: 0.0000 0.0000 0.5000  2 Ta 2.50
In: 0.5000 0.5000 0.5000  4 Zn 3.47, 8 Nb 3.50

Results
The density of states at the Fermi level comes out at 5.35 states/eV/cell. As for the crystal system: tetragonal. For the energy relative to the elements, the calculation gives 1.206 eV per atom. The calculation puts the total energy at -5.995 eV/atom. The calculation puts the volume at 120.46 Å³ per cell.